# 1
VASP calculation (PBE) on Pt2Se after structural relaxation.

Properties
Energy relative to the elements, uncorrected (eV per atom): 0.23
D(E_F) (states/eV/f.u.): 1.916

The structure in CIF format:
```
data_Pt2Se
_cell_length_a 3.264
_cell_length_b 3.264
_cell_length_c 19.909
_cell_angle_alpha 90.00
_cell_angle_beta 90.00
_cell_angle_gamma 90.00
_space_group_name_H-M_alt 'I 41/a m d'
_space_group_IT_number 141
loop_
_space_group_symop_operation_xyz
'x,y,z'
'-x,-y,-z'
'-y+1/4,x+3/4,z+1/4'
'y+1/4,-x+3/4,-z+1/4'
'-x+1/2,-y,z+1/2'
'x+1/2,y,-z+1/2'
'y+1/4,-x+1/4,z+3/4'
'-y+1/4,x+1/4,-z+3/4'
'x,-y,-z'
'-x,y,z'
'-y+1/4,-x+1/4,-z+3/4'
'y+1/4,x+1/4,z+3/4'
'-x+1/2,y,-z+1/2'
'x+1/2,-y,z+1/2'
'y+1/4,x+3/4,-z+1/4'
'-y+1/4,-x+3/4,z+1/4'
'x+1/2,y+1/2,z+1/2'
'-x+1/2,-y+1/2,-z+1/2'
'-y+3/4,x+1/4,z+3/4'
'y+3/4,-x+1/4,-z+3/4'
'-x,-y+1/2,z'
'x,y+1/2,-z'
'y+3/4,-x+3/4,z+1/4'
'-y+3/4,x+3/4,-z+1/4'
'x+1/2,-y+1/2,-z+1/2'
'-x+1/2,y+1/2,z+1/2'
'-y+3/4,-x+3/4,-z+1/4'
'y+3/4,x+3/4,z+1/4'
'-x,y+1/2,-z'
'x,-y+1/2,z'
'y+3/4,x+1/4,-z+3/4'
'-y+3/4,-x+1/4,z+3/4'
loop_
_atom_site_label
_atom_site_type_symbol
_atom_site_fract_x
_atom_site_fract_y
_atom_site_fract_z
_atom_site_occupancy
Pt1 Pt 0.000 0.250 0.304 1
Se1 Se 0.000 0.250 0.875 1
```

---

# 2
VASP calculation (PBE) on PmGa4Cu2Ir after structural relaxation.

Properties
Energy relative to the elements (eV/atom): -0.345
D(E_F) (states/eV/f.u.): 3.755

The structure in CIF format:
```
data_PmGa4Cu2Ir
_cell_length_a 4.2012
_cell_length_b 4.2012
_cell_length_c 26.9874
_cell_angle_alpha 90.00
_cell_angle_beta 90.00
_cell_angle_gamma 120.00
_space_group_name_H-M_alt 'R -3 m'
_space_group_IT_number 166
_space_group_name_Hall '-R 3 2"'
loop_
_atom_site_label
_atom_site_type_symbol
_atom_site_fract_x
_atom_site_fract_y
_atom_site_fract_z
_atom_site_occupancy
Pm1 Pm 0.0000 0.0000 0.0000 1
Ga1 Ga 0.0000 0.0000 0.1296 1
Ga2 Ga 0.0000 0.0000 0.4022 1
Cu1 Cu 0.0000 0.0000 0.2386 1
Ir1 Ir 0.0000 0.0000 0.5000 1
```

---

# 3
VASP calculation (PBE) on Mg2RuPt after structural relaxation.

Properties
Energy relative to the elements (eV/atom): -0.336
D(E_F) (states/eV/f.u.): 2.289

The structure in CIF format:
```
data_Mg2RuPt
_cell_length_a 10.119
_cell_length_b 2.852
_cell_length_c 4.788
_cell_angle_alpha 90.00
_cell_angle_beta 112.30
_cell_angle_gamma 90.00
_space_group_name_H-M_alt 'C 1 m 1'
_space_group_IT_number 8
_space_group_name_Hall 'C -2y'
loop_
_atom_site_label
_atom_site_type_symbol
_atom_site_fract_x
_atom_site_fract_y
_atom_site_fract_z
_atom_site_occupancy
Mg1 Mg 0.000 0.000 0.000 1
Mg2 Mg 0.220 0.000 0.596 1
Ru1 Ru 0.469 0.000 0.490 1
Pt1 Pt 0.248 0.500 0.102 1
```

---

# 4
VASP calculation (PBE) on ZrCoTc after structural relaxation.

Properties
Energy relative to the elements (eV/atom): 0.112
D(E_F) (states/eV/f.u.): 3.974

The structure in CIF format:
```
data_ZrCoTc
_cell_length_a 4.4194
_cell_length_b 4.4194
_cell_length_c 2.8230
_cell_angle_alpha 90.00
_cell_angle_beta 90.00
_cell_angle_gamma 120.00
_space_group_name_H-M_alt 'P 3 m 1'
_space_group_IT_number 156
_space_group_name_Hall 'P 3 -2"'
loop_
_atom_site_label
_atom_site_type_symbol
_atom_site_fract_x
_atom_site_fract_y
_atom_site_fract_z
_atom_site_occupancy
Zr1 Zr 0.0000 0.0000 0.0000 1
Co1 Co 0.6667 0.3333 0.3593 1
Tc1 Tc 0.3333 0.6667 0.6490 1
```

---

# 5
VASP calculation (PBE) on Cs2RbNaZn after structural relaxation.

Properties
Energy relative to the elements (eV/atom): 0.112
D(E_F) (states/eV/f.u.): 5.006

The structure in CIF format:
```
data_Cs2RbNaZn
_cell_length_a 7.409
_cell_length_b 7.409
_cell_length_c 6.344
_cell_angle_alpha 90.00
_cell_angle_beta 90.00
_cell_angle_gamma 90.00
_space_group_name_H-M_alt 'P 4/m m m'
_space_group_IT_number 123
_space_group_name_Hall '-P 4 2'
loop_
_atom_site_label
_atom_site_type_symbol
_atom_site_fract_x
_atom_site_fract_y
_atom_site_fract_z
_atom_site_occupancy
Cs1 Cs 0.000 0.500 0.000 1
Rb1 Rb 0.000 0.000 0.500 1
Na1 Na 0.500 0.500 0.500 1
Zn1 Zn 0.500 0.500 0.000 1
```

---

# 6
VASP calculation (PBE) on La2PmYP4 after structural relaxation.

Properties
Energy relative to the elements (eV/atom): -1.576
D(E_F) (states/eV/f.u.): 0.684

The structure in CIF format:
```
data_La2PmYP4
_cell_length_a 7.228
_cell_length_b 4.177
_cell_length_c 7.231
_cell_angle_alpha 90.00
_cell_angle_beta 109.45
_cell_angle_gamma 90.00
_space_group_name_H-M_alt 'P 1 2/m 1'
_space_group_IT_number 10
_space_group_name_Hall '-P 2y'
loop_
_atom_site_label
_atom_site_type_symbol
_atom_site_fract_x
_atom_site_fract_y
_atom_site_fract_z
_atom_site_occupancy
La1 La 0.000 0.000 0.000 1
La2 La 0.500 0.500 0.000 1
Pm1 Pm 0.000 0.500 0.500 1
Y1 Y 0.500 0.000 0.500 1
P1 P 0.250 0.000 0.741 1
P2 P 0.257 0.500 0.261 1
```

---

# 7
VASP calculation (PBE) on Ti3VSb after structural relaxation.

Properties
Energy relative to the elements, uncorrected (eV per atom): 0.44
D(E_F) (states/eV/f.u.): 5.909

The structure in CIF format:
```
data_Ti3VSb
_cell_length_a 4.584
_cell_length_b 4.584
_cell_length_c 4.584
_cell_angle_alpha 90.00
_cell_angle_beta 90.00
_cell_angle_gamma 90.00
_space_group_name_H-M_alt 'P m -3 m'
_space_group_IT_number 221
_space_group_name_Hall '-P 4 2 3'
loop_
_atom_site_label
_atom_site_type_symbol
_atom_site_fract_x
_atom_site_fract_y
_atom_site_fract_z
_atom_site_occupancy
Ti1 Ti 0.000 0.000 0.500 1
V1 V 0.000 0.000 0.000 1
Sb1 Sb 0.500 0.500 0.500 1
```

---

# 8
VASP calculation (PBE) on Tc2Ge2Pb after structural relaxation.

Properties
Energy relative to the elements (eV/atom): 0.240
D(E_F) (states/eV/f.u.): 5.062

The structure in CIF format:
```
data_Tc2Ge2Pb
_cell_length_a 4.449
_cell_length_b 4.449
_cell_length_c 9.659
_cell_angle_alpha 90.00
_cell_angle_beta 90.00
_cell_angle_gamma 90.00
_space_group_name_H-M_alt 'I 4/m m m'
_space_group_IT_number 139
_space_group_name_Hall '-I 4 2'
loop_
_atom_site_label
_atom_site_type_symbol
_atom_site_fract_x
_atom_site_fract_y
_atom_site_fract_z
_atom_site_occupancy
Tc1 Tc 0.000 0.500 0.250 1
Ge1 Ge 0.000 0.000 0.131 1
Pb1 Pb 0.000 0.000 0.500 1
```

---

# 9
VASP calculation (PBE) on As2RhAu after structural relaxation.

Properties
Energy relative to the elements (eV/atom): 0.151
D(E_F) (states/eV/f.u.): 2.879

The structure in CIF format:
```
data_As2RhAu
_cell_length_a 3.937
_cell_length_b 3.937
_cell_length_c 8.742
_cell_angle_alpha 90.00
_cell_angle_beta 90.00
_cell_angle_gamma 90.00
_space_group_name_H-M_alt 'I -4 m 2'
_space_group_IT_number 119
_space_group_name_Hall 'I -4 -2'
loop_
_atom_site_label
_atom_site_type_symbol
_atom_site_fract_x
_atom_site_fract_y
_atom_site_fract_z
_atom_site_occupancy
As1 As 0.000 0.000 0.000 1
As2 As 0.000 0.500 0.250 1
Rh1 Rh 0.000 0.000 0.500 1
Au1 Au 0.000 0.500 0.750 1
```

---

# 10
VASP calculation (PBE) on K3TlSe4 after structural relaxation.

Properties
Energy relative to the elements, uncorrected (eV per atom): -0.75

The structure in CIF format:
```
data_K3TlSe4
_cell_length_a 4.915
_cell_length_b 6.447
_cell_length_c 18.200
_cell_angle_alpha 90.00
_cell_angle_beta 90.00
_cell_angle_gamma 90.00
_space_group_name_H-M_alt 'I m m m'
_space_group_IT_number 71
_space_group_name_Hall '-I 2 2'
loop_
_atom_site_label
_atom_site_type_symbol
_atom_site_fract_x
_atom_site_fract_y
_atom_site_fract_z
_atom_site_occupancy
K1 K 0.000 0.000 0.000 1
K2 K 0.000 0.500 0.199 1
Tl1 Tl 0.000 0.000 0.500 1
Se1 Se 0.000 0.311 0.373 1
```

---

# 11
VASP calculation (PBE) on CaPrDyAl after structural relaxation.

Properties
Energy relative to the elements (eV/atom): -0.066
D(E_F) (states/eV/f.u.): 2.893

The structure in CIF format:
```
data_CaPrDyAl
_cell_length_a 7.736
_cell_length_b 7.736
_cell_length_c 7.736
_cell_angle_alpha 90.00
_cell_angle_beta 90.00
_cell_angle_gamma 90.00
_space_group_name_H-M_alt 'F -4 3 m'
_space_group_IT_number 216
_space_group_name_Hall 'F -4 2 3'
loop_
_atom_site_label
_atom_site_type_symbol
_atom_site_fract_x
_atom_site_fract_y
_atom_site_fract_z
_atom_site_occupancy
Ca1 Ca 0.000 0.000 0.000 1
Pr1 Pr 0.250 0.250 0.250 1
Dy1 Dy 0.250 0.250 0.750 1
Al1 Al 0.000 0.000 0.500 1
```

---

# 12
VASP calculation (PBE) on ReAs4Pb after structural relaxation.

Properties
Energy relative to the elements (eV/atom): 0.976
D(E_F) (states/eV/f.u.): 4.478

The structure in CIF format:
```
data_ReAs4Pb
_cell_length_a 7.906
_cell_length_b 7.906
_cell_length_c 7.906
_cell_angle_alpha 90.00
_cell_angle_beta 90.00
_cell_angle_gamma 90.00
_space_group_name_H-M_alt 'F -4 3 m'
_space_group_IT_number 216
_space_group_name_Hall 'F -4 2 3'
loop_
_atom_site_label
_atom_site_type_symbol
_atom_site_fract_x
_atom_site_fract_y
_atom_site_fract_z
_atom_site_occupancy
Re1 Re 0.000 0.000 0.000 1
As1 As 0.126 0.126 0.626 1
Pb1 Pb 0.250 0.250 0.250 1
```

---

Repeat the twelfth record exactly.
VASP calculation (PBE) on ReAs4Pb after structural relaxation.

Properties
Energy relative to the elements (eV/atom): 0.976
D(E_F) (states/eV/f.u.): 4.478

The structure in CIF format:
```
data_ReAs4Pb
_cell_length_a 7.906
_cell_length_b 7.906
_cell_length_c 7.906
_cell_angle_alpha 90.00
_cell_angle_beta 90.00
_cell_angle_gamma 90.00
_space_group_name_H-M_alt 'F -4 3 m'
_space_group_IT_number 216
_space_group_name_Hall 'F -4 2 3'
loop_
_atom_site_label
_atom_site_type_symbol
_atom_site_fract_x
_atom_site_fract_y
_atom_site_fract_z
_atom_site_occupancy
Re1 Re 0.000 0.000 0.000 1
As1 As 0.126 0.126 0.626 1
Pb1 Pb 0.250 0.250 0.250 1
```